Material: Ca2RhCl
Method: DFT, PBE
State: optimized geometry

Lattice parameters (Å, degrees): 3.569 3.460 7.896 90.00 92.08 90.00
Space group P2/m (No. 10)
Symmetry-distinct sites (fractional):
Ca: 0.017 0.000 0.212
Rh: 0.500 0.500 0.000
Cl: 0.000 0.500 0.500

Output
- Uncorrected formation energy: -4.25 eV per formula unit
- DOS at the Fermi energy: 0.5 states/eV per cell
- Energy relative to the lowest polymorph listed for this composition: 0 meV per atom

=====

Material: MnFeSiW
Method: DFT, PBE
State: optimized geometry

Lattice parameters (Å, degrees): 5.794 5.794 5.794 90.00 90.00 90.00
Space group F-43m (No. 216)
Symmetry-distinct sites (fractional):
Mn: 0.000 0.000 0.000
Fe: 0.000 0.000 0.500
Si: 0.250 0.250 0.250
W: 0.250 0.250 0.750

Output
- Uncorrected formation energy: -0.66 eV per formula unit
- DOS at the Fermi energy: 15.7 states/eV per cell

=====

Material: ScCuNi4H8
Method: DFT, PBE
State: optimized geometry

Lattice parameters (Å, degrees): 5.2856 5.2856 12.7185 90.00 90.00 120.00
Space group R3m (No. 160, hexagonal axes)
Symmetry-distinct sites (fractional):
Sc: 0.0000 0.0000 0.0000
Cu: 0.0000 0.0000 0.6149
Ni: 0.0000 0.0000 0.2473
Ni: 0.0033 0.5016 0.1197
H: 0.0000 0.0000 0.3808
H: 0.0000 0.0000 0.8439
H: 0.0655 0.5328 0.3818
H: 0.1704 0.3407 0.1877

Output
- DOS at the Fermi energy: 15.7 states/eV per cell
- Total energy: -4.41 eV per atom

=====

We obtain spin magnetization values of 0.00 2.85 0.00 μB per cell for the records listed above, in that order.